[1]
First-principles (PBE) data for an optimized crystal structure of HoIn2I6, as listed in Alexandria.

The structure in CIF format:
```
data_HoIn2I6
_cell_length_a 8.299
_cell_length_b 10.612
_cell_length_c 10.612
_cell_angle_alpha 81.53
_cell_angle_beta 94.83
_cell_angle_gamma 94.83
_symmetry_space_group_name_H-M 'P 1'
_symmetry_Int_Tables_number 1
_symmetry_space_group_name_Hall 'P 1'
loop_
_atom_site_label
_atom_site_fract_x
_atom_site_fract_y
_atom_site_fract_z
I1 0.947 0.179 0.015
I2 0.071 0.590 0.618
I3 0.603 0.656 0.088
I4 0.929 0.410 0.382
I5 0.553 0.985 0.821
I6 0.447 0.015 0.179
I7 0.053 0.821 0.985
I8 0.397 0.344 0.912
I9 0.103 0.088 0.656
I10 0.571 0.618 0.590
I11 0.897 0.912 0.344
I12 0.429 0.382 0.410
Ho1 0.250 0.080 0.920
Ho2 0.750 0.920 0.080
In1 0.362 0.660 0.800
In2 0.862 0.800 0.660
In3 0.638 0.340 0.200
In4 0.138 0.200 0.340
```

Output
**Uncorrected formation energy**: -0.771 eV per atom

***

[2]
First-principles (PBE) data for an optimized crystal structure of TbGaIr, as listed in Alexandria.

The structure in CIF format:
```
data_TbGaIr
_cell_length_a 6.774
_cell_length_b 6.774
_cell_length_c 7.113
_cell_angle_alpha 107.05
_cell_angle_beta 107.05
_cell_angle_gamma 112.59
_symmetry_space_group_name_H-M 'P 1'
_symmetry_Int_Tables_number 1
_symmetry_space_group_name_Hall 'P 1'
loop_
_atom_site_label
_atom_site_fract_x
_atom_site_fract_y
_atom_site_fract_z
Ir1 0.179 0.179 0.358
Ir2 0.821 0.821 0.642
Ir3 0.429 0.929 0.858
Ir4 0.071 0.571 0.142
Ga1 0.124 0.876 0.500
Ga2 0.126 0.874 0.000
Ga3 0.874 0.126 0.000
Ga4 0.376 0.624 0.500
Tb1 0.625 0.875 0.250
Tb2 0.625 0.375 0.250
Tb3 0.625 0.375 0.750
Tb4 0.125 0.375 0.750
```

Output
**Calculated formation energy**: -548 meV per atom

***

[3]
First-principles (PBE) data for an optimized crystal structure of Tl2SbBr2, as listed in Alexandria.

The structure in CIF format:
```
data_Tl2SbBr2
_cell_length_a 8.831
_cell_length_b 8.831
_cell_length_c 4.293
_cell_angle_alpha 90.00
_cell_angle_beta 90.00
_cell_angle_gamma 90.00
_symmetry_space_group_name_H-M 'P 1'
_symmetry_Int_Tables_number 1
_symmetry_space_group_name_Hall 'P 1'
loop_
_atom_site_label
_atom_site_fract_x
_atom_site_fract_y
_atom_site_fract_z
Br1 0.338 0.838 0.000
Br2 0.162 0.338 0.000
Br3 0.838 0.662 0.000
Br4 0.662 0.162 0.000
Tl1 0.649 0.851 0.500
Tl2 0.149 0.649 0.500
Tl3 0.351 0.149 0.500
Tl4 0.851 0.351 0.500
Sb1 0.500 0.500 0.000
Sb2 0.000 0.000 0.000
```

Output
**Uncorrected formation energy**: -0.243 eV per atom